Here is a relaxed structure of AlCoBRu from Alexandria via LeMat-Bulk. Energies are from GGA-PBE.

For the formation energy, the calculation gives -0.108 eV per atom. The density of states at the Fermi level comes out at 2.26 states/eV per cell. Its space group is F-43m, No. 216. The total energy comes out at -6.8080 eV per atom.

Cell lengths 3.931, 3.931, 3.931 Å; angles 60.00, 60.00, 60.00 degrees
Fractional coordinates of all 4 atoms:
1 Al 0.000 0.000 0.000
2 Co 0.750 0.750 0.750
3 B 0.500 0.500 0.500
4 Ru 0.250 0.250 0.250

---

Here is a relaxed structure of Tb4PmY3 from Alexandria via LeMat-Bulk. Energies are from GGA-PBE.

For the formation energy, the calculation gives 0.010 eV per atom. The density of states at the Fermi level comes out at 27.59 states/eV per cell. As for the offset from the most stable computed form: 0.000 eV per atom. Its space group is Pmn2_1, No. 31. The total energy comes out at -5.3232 eV per atom.

Cell lengths 11.364, 7.316, 6.320 Å; angles 90.00, 90.00, 90.00 degrees
Fractional coordinates of all 16 atoms:
1 Tb 0.000 0.124 0.000
2 Tb 0.000 0.876 0.498
3 Tb 0.249 0.876 0.830
4 Tb 0.251 0.124 0.330
5 Tb 0.500 0.124 0.998
6 Tb 0.500 0.876 0.500
7 Tb 0.749 0.124 0.330
8 Tb 0.751 0.876 0.830
9 Pm 0.000 0.373 0.496
10 Pm 0.500 0.627 0.996
11 Y 0.000 0.626 0.996
12 Y 0.250 0.374 0.831
13 Y 0.250 0.626 0.331
14 Y 0.500 0.374 0.496
15 Y 0.750 0.374 0.831
16 Y 0.750 0.626 0.331

---

Here is a relaxed structure of FeSeCl2 from Alexandria via LeMat-Bulk. Energies are from GGA-PBE.

The density of states at the Fermi level comes out at 4.26 states/eV per cell. As for the offset from the most stable computed form: 0.987 eV per atom. Its space group is P4/mmm, No. 123. Its energy relative to the elements, uncorrected is 603 meV/atom. The total energy comes out at -3.3071 eV per atom.

Cell lengths 4.877, 4.877, 3.228 Å; angles 90.00, 90.00, 90.00 degrees
Fractional coordinates of all 4 atoms:
1 Fe 0.000 0.000 0.000
2 Se 0.500 0.500 0.000
3 Cl 0.000 0.500 0.500
4 Cl 0.500 0.000 0.500

---

Here is a relaxed structure of Pm5PrY from Alexandria via LeMat-Bulk. Energies are from GGA-PBE.

For the formation energy, the calculation gives 0.989 eV per atom. The density of states at the Fermi level comes out at 12.72 states/eV per cell. As for the offset from the most stable computed form: 0.824 eV per atom. Its space group is Immm, No. 71. The total energy comes out at -4.0105 eV per atom.

Cell lengths 8.038, 8.038, 8.038 Å; angles 136.85, 113.81, 82.34 degrees
Fractional coordinates of all 7 atoms:
1 Pm 0.000 0.000 0.000
2 Pm 0.248 0.748 0.500
3 Pm 0.324 0.500 0.824
4 Pm 0.676 0.500 0.176
5 Pm 0.752 0.252 0.500
6 Pr 0.000 0.500 0.500
7 Y 0.500 0.000 0.500

---

Here is a relaxed structure of Zn4Pd15Pb from Alexandria via LeMat-Bulk. Energies are from GGA-PBE.

For the formation energy, the calculation gives -0.287 eV per atom. The density of states at the Fermi level comes out at 22.76 states/eV per cell. Its space group is P4/mmm, No. 123. The total energy comes out at -4.6218 eV per atom.

Cell lengths 3.995, 3.995, 19.401 Å; angles 90.00, 90.00, 90.00 degrees
Fractional coordinates of all 20 atoms:
1 Zn 0.000 0.000 0.097
2 Zn 0.000 0.000 0.292
3 Zn 0.000 0.000 0.708
4 Zn 0.000 0.000 0.903
5 Pd 0.000 0.500 0.000
6 Pd 0.000 0.500 0.194
7 Pd 0.000 0.500 0.390
8 Pd 0.000 0.500 0.610
9 Pd 0.000 0.500 0.806
10 Pd 0.500 0.000 0.000
11 Pd 0.500 0.000 0.194
12 Pd 0.500 0.000 0.390
13 Pd 0.500 0.000 0.610
14 Pd 0.500 0.000 0.806
15 Pd 0.500 0.500 0.097
16 Pd 0.500 0.500 0.292
17 Pd 0.500 0.500 0.500
18 Pd 0.500 0.500 0.708
19 Pd 0.500 0.500 0.903
20 Pb 0.000 0.000 0.500

---

Here is a relaxed structure of ScTiW3 from Alexandria via LeMat-Bulk. Energies are from GGA-PBE.

For the formation energy, the calculation gives 1.491 eV per atom. The density of states at the Fermi level comes out at 7.21 states/eV per cell. As for the offset from the most stable computed form: 0.000 eV per atom. Its space group is Pm-3m, No. 221. The total energy comes out at -9.1262 eV per atom.

Cell lengths 4.637, 4.637, 4.637 Å; angles 90.00, 90.00, 90.00 degrees
Fractional coordinates of all 5 atoms:
1 Sc 0.000 0.000 0.000
2 Ti 0.500 0.500 0.500
3 W 0.000 0.500 0.500
4 W 0.500 0.000 0.500
5 W 0.500 0.500 0.000

---

Here is a relaxed structure of NaLu2Cd from Alexandria via LeMat-Bulk. Energies are from GGA-PBE.

For the formation energy, the calculation gives 0.131 eV per atom. The density of states at the Fermi level comes out at 4.28 states/eV per cell. Its space group is R-3m, No. 166. The total energy comes out at -2.6882 eV per atom.

Cell lengths 12.020, 12.020, 12.020 Å; angles 16.38, 16.38, 16.38 degrees
Fractional coordinates of all 4 atoms:
1 Na 0.000 0.000 0.000
2 Lu 0.097 0.097 0.097
3 Lu 0.903 0.903 0.903
4 Cd 0.500 0.500 0.500